CrSe3S | meta-GGA SCAN | single point on PBEsol structure

- raw total energy (eV per atom) = -17.101
- crystal system = cubic

Cell lengths 4.763, 4.763, 4.763 Å; angles 90.00, 90.00, 90.00 degrees
Space group Pm-3m (No. 221)
Unique sites:
Cr1 0.000 0.000 0.000
Se1 0.000 0.500 0.500
S1 0.500 0.500 0.500

Ce8SbPd24 | meta-GGA SCAN | single point on PBEsol structure

- raw total energy (eV per atom) = -36.587
- crystal system = cubic

Cell lengths 8.327, 8.327, 8.327 Å; angles 90.00, 90.00, 90.00 degrees
Space group Pm-3m (No. 221)
Unique sites:
Ce1 0.246 0.246 0.246
Sb1 0.000 0.000 0.000
Pd1 0.000 0.000 0.320
Pd2 0.000 0.269 0.500
Pd3 0.256 0.500 0.500